Computed, not measured: an optimized crystal structure of SrLaZr2 at the GGA-PBE level of DFT.

Values from the calculation:
DFT formation energy   0.415 eV/atom
VASP energy   -5.51 eV/atom

Lattice parameters (Å, degrees): 6.002 6.002 6.458 82.25 82.25 32.71
Positions (direct):
Zr: 0.006 0.006 0.950
Zr: 0.494 0.494 0.550
Sr: 0.250 0.250 0.250
La: 0.750 0.750 0.750

Computed, not measured: an optimized crystal structure of ScOsRu2 at the GGA-PBE level of DFT.

Values from the calculation:
DFT formation energy   -0.025 eV/atom
VASP energy   -9.05 eV/atom

Lattice parameters (Å, degrees): 4.811 4.811 4.837 79.67 79.67 34.19
Positions (direct):
Os: 0.750 0.750 0.750
Ru: 0.488 0.488 0.527
Ru: 0.012 0.012 0.973
Sc: 0.250 0.250 0.250